one) ! GeAsBr2N GGA-PBE optimized geometry; values from VASP
&SYSTEM
  ibrav = 0, nat = 5, ntyp = 4
/
ATOMIC_SPECIES
Br 79.90 Br.upf
As 74.92 As.upf
Ge 72.64 Ge.upf
N 14.01 N.upf
CELL_PARAMETERS angstrom
4.533 0.000 0.000
0.000 4.533 0.000
0.000 0.000 4.773
ATOMIC_POSITIONS crystal
Br 0.000 0.500 0.000
As 0.000 0.000 0.500
Ge 0.500 0.500 0.500
N 0.000 0.000 0.000
Br 0.500 0.000 0.000
! DOS(E_F) (states/eV per cell): 2.0
! M_tot (Bohr magnetons per cell): 0.000

=====

two) ! GeAsBr2N GGA-PBE optimized geometry; values from VASP
&SYSTEM
  ibrav = 0, nat = 5, ntyp = 4
/
ATOMIC_SPECIES
N 14.01 N.upf
As 74.92 As.upf
Br 79.90 Br.upf
Ge 72.64 Ge.upf
CELL_PARAMETERS angstrom
5.346 0.000 0.000
0.000 5.346 0.000
0.000 0.000 5.268
ATOMIC_POSITIONS crystal
N 0.500 0.500 0.500
As 0.000 0.000 0.500
Br 0.000 0.500 0.000
Ge 0.000 0.000 0.000
Br 0.500 0.000 0.000
! DOS(E_F) (states/eV per cell): 2.4
! M_tot (Bohr magnetons per cell): 0.963

=====

Winner for stability: one)

=====

one) ! NaGeAsBr2 GGA-PBE optimized geometry; values from VASP
&SYSTEM
  ibrav = 0, nat = 5, ntyp = 4
/
ATOMIC_SPECIES
Ge 72.64 Ge.upf
Br 79.90 Br.upf
Na 22.99 Na.upf
As 74.92 As.upf
CELL_PARAMETERS angstrom
-4.908 -1.573 -0.764
0.846 -4.128 3.064
-1.651 2.981 4.471
ATOMIC_POSITIONS crystal
Ge 0.500 0.500 0.500
Br 0.000 0.500 0.000
Na 0.000 0.000 0.000
As 0.000 0.000 0.500
Br 0.500 0.000 0.000
! DOS(E_F) (states/eV per cell): 3.4
! M_tot (Bohr magnetons per cell): 1.961

=====

two) ! NaGeAsBr2 GGA-PBE optimized geometry; values from VASP
&SYSTEM
  ibrav = 0, nat = 5, ntyp = 4
/
ATOMIC_SPECIES
As 74.92 As.upf
Br 79.90 Br.upf
Na 22.99 Na.upf
Ge 72.64 Ge.upf
CELL_PARAMETERS angstrom
5.550 0.000 0.000
0.000 5.550 0.000
0.000 0.000 5.164
ATOMIC_POSITIONS crystal
As 0.000 0.000 0.500
Br 0.500 0.000 0.000
Na 0.500 0.500 0.500
Ge 0.000 0.000 0.000
Br 0.000 0.500 0.000
! DOS(E_F) (states/eV per cell): 2.9
! M_tot (Bohr magnetons per cell): 1.640

=====

Winner for stability: two)

=====

one) ! NbGeAsBr2 GGA-PBE optimized geometry; values from VASP
&SYSTEM
  ibrav = 0, nat = 5, ntyp = 4
/
ATOMIC_SPECIES
Br 79.90 Br.upf
Ge 72.64 Ge.upf
Nb 92.91 Nb.upf
As 74.92 As.upf
CELL_PARAMETERS angstrom
5.097 0.000 0.000
0.000 5.097 0.000
0.000 0.000 5.178
ATOMIC_POSITIONS crystal
Br 0.000 0.500 0.000
Br 0.500 0.000 0.000
Ge 0.000 0.000 0.000
Nb 0.500 0.500 0.500
As 0.000 0.000 0.500
! DOS(E_F) (states/eV per cell): 5.1
! M_tot (Bohr magnetons per cell): 2.465

=====

two) ! NbGeAsBr2 GGA-PBE optimized geometry; values from VASP
&SYSTEM
  ibrav = 0, nat = 5, ntyp = 4
/
ATOMIC_SPECIES
Ge 72.64 Ge.upf
As 74.92 As.upf
Nb 92.91 Nb.upf
Br 79.90 Br.upf
CELL_PARAMETERS angstrom
5.128 0.000 0.000
0.000 5.128 0.000
0.000 0.000 5.177
ATOMIC_POSITIONS crystal
Ge 0.500 0.500 0.500
As 0.000 0.000 0.500
Nb 0.000 0.000 0.000
Br 0.500 0.000 0.000
Br 0.000 0.500 0.000
! DOS(E_F) (states/eV per cell): 5.2
! M_tot (Bohr magnetons per cell): 1.110

=====

Winner for stability: two)

=====

one) ! GeAs2BrO GGA-PBE optimized geometry; values from VASP
&SYSTEM
  ibrav = 0, nat = 5, ntyp = 4
/
ATOMIC_SPECIES
As 74.92 As.upf
Br 79.90 Br.upf
O 16.00 O.upf
Ge 72.64 Ge.upf
CELL_PARAMETERS angstrom
5.016 0.000 0.000
0.000 5.016 0.000
0.000 0.000 5.349
ATOMIC_POSITIONS crystal
As 0.000 0.500 0.000
Br 0.000 0.000 0.500
O 0.500 0.500 0.500
Ge 0.000 0.000 0.000
As 0.500 0.000 0.000
! DOS(E_F) (states/eV per cell): 6.2
! M_tot (Bohr magnetons per cell): 3.127

=====

two) ! GeAs2BrO GGA-PBE optimized geometry; values from VASP
&SYSTEM
  ibrav = 0, nat = 5, ntyp = 4
/
ATOMIC_SPECIES
Ge 72.64 Ge.upf
As 74.92 As.upf
O 16.00 O.upf
Br 79.90 Br.upf
CELL_PARAMETERS angstrom
4.155 0.000 0.000
0.000 4.155 0.000
0.000 0.000 6.175
ATOMIC_POSITIONS crystal
Ge 0.500 0.500 0.500
As 0.500 0.000 0.000
O 0.000 0.000 0.000
As 0.000 0.500 0.000
Br 0.000 0.000 0.500
! DOS(E_F) (states/eV per cell): 2.4
! M_tot (Bohr magnetons per cell): 0.000

=====

Winner for stability: two)

=====

one) ! GeAsOsBr2 GGA-PBE optimized geometry; values from VASP
&SYSTEM
  ibrav = 0, nat = 5, ntyp = 4
/
ATOMIC_SPECIES
As 74.92 As.upf
Os 190.23 Os.upf
Br 79.90 Br.upf
Ge 72.64 Ge.upf
CELL_PARAMETERS angstrom
-2.225 -0.579 4.682
-4.626 -0.749 -2.291
0.832 -4.602 -0.174
ATOMIC_POSITIONS crystal
As 0.000 0.000 0.500
Os 0.000 0.000 0.000
Br 0.000 0.500 0.000
Br 0.500 0.000 0.000
Ge 0.500 0.500 0.500
! DOS(E_F) (states/eV per cell): 4.0
! M_tot (Bohr magnetons per cell): 0.568

=====

two) ! GeAsOsBr2 GGA-PBE optimized geometry; values from VASP
&SYSTEM
  ibrav = 0, nat = 5, ntyp = 4
/
ATOMIC_SPECIES
Ge 72.64 Ge.upf
As 74.92 As.upf
Os 190.23 Os.upf
Br 79.90 Br.upf
CELL_PARAMETERS angstrom
5.078 0.000 0.000
0.000 5.078 0.000
0.000 0.000 5.284
ATOMIC_POSITIONS crystal
Ge 0.000 0.000 0.000
As 0.000 0.000 0.500
Os 0.500 0.500 0.500
Br 0.500 0.000 0.000
Br 0.000 0.500 0.000
! DOS(E_F) (states/eV per cell): 5.4
! M_tot (Bohr magnetons per cell): 3.782

=====

Winner for stability: one)

=====

one) ! GeAsPbBr2 GGA-PBE optimized geometry; values from VASP
&SYSTEM
  ibrav = 0, nat = 5, ntyp = 4
/
ATOMIC_SPECIES
As 74.92 As.upf
Br 79.90 Br.upf
Pb 207.20 Pb.upf
Ge 72.64 Ge.upf
CELL_PARAMETERS angstrom
-0.047 0.542 5.638
2.591 -5.012 0.504
5.072 2.602 -0.208
ATOMIC_POSITIONS crystal
As 0.000 0.000 0.500
Br 0.000 0.500 0.000
Pb 0.000 0.000 0.000
Ge 0.500 0.500 0.500
Br 0.500 0.000 0.000
! DOS(E_F) (states/eV per cell): 3.5
! M_tot (Bohr magnetons per cell): 0.441

=====

two) ! GeAsPbBr2 GGA-PBE optimized geometry; values from VASP
&SYSTEM
  ibrav = 0, nat = 5, ntyp = 4
/
ATOMIC_SPECIES
Br 79.90 Br.upf
As 74.92 As.upf
Pb 207.20 Pb.upf
Ge 72.64 Ge.upf
CELL_PARAMETERS angstrom
5.231 0.000 0.000
0.000 5.231 0.000
0.000 0.000 5.324
ATOMIC_POSITIONS crystal
Br 0.500 0.000 0.000
As 0.000 0.000 0.500
Br 0.000 0.500 0.000
Pb 0.500 0.500 0.500
Ge 0.000 0.000 0.000
! DOS(E_F) (states/eV per cell): 3.8
! M_tot (Bohr magnetons per cell): 0.004

=====

Winner for stability: two)

=====

one) ! RbGeAsBr2 GGA-PBE optimized geometry; values from VASP
&SYSTEM
  ibrav = 0, nat = 5, ntyp = 4
/
ATOMIC_SPECIES
Rb 85.47 Rb.upf
Br 79.90 Br.upf
As 74.92 As.upf
Ge 72.64 Ge.upf
CELL_PARAMETERS angstrom
-5.911 -0.276 -0.922
0.962 -1.659 -5.673
0.006 -5.693 1.666
ATOMIC_POSITIONS crystal
Rb 0.000 0.000 0.000
Br 0.500 0.000 0.000
As 0.000 0.000 0.500
Ge 0.500 0.500 0.500
Br 0.000 0.500 0.000
! DOS(E_F) (states/eV per cell): 4.6
! M_tot (Bohr magnetons per cell): 1.857

=====

two) ! RbGeAsBr2 GGA-PBE optimized geometry; values from VASP
&SYSTEM
  ibrav = 0, nat = 5, ntyp = 4
/
ATOMIC_SPECIES
Br 79.90 Br.upf
Ge 72.64 Ge.upf
As 74.92 As.upf
Rb 85.47 Rb.upf
CELL_PARAMETERS angstrom
-2.525 0.470 -5.070
3.608 -3.828 -2.151
-3.293 -3.826 1.286
ATOMIC_POSITIONS crystal
Br 0.000 0.500 0.000
Ge 0.000 0.000 0.000
As 0.000 0.000 0.500
Br 0.500 0.000 0.000
Rb 0.500 0.500 0.500
! DOS(E_F) (states/eV per cell): 3.0
! M_tot (Bohr magnetons per cell): 1.666

=====

Winner for stability: two)

=====

one) ! GeAsRuBr2 GGA-PBE optimized geometry; values from VASP
&SYSTEM
  ibrav = 0, nat = 5, ntyp = 4
/
ATOMIC_SPECIES
Ge 72.64 Ge.upf
Ru 101.07 Ru.upf
As 74.92 As.upf
Br 79.90 Br.upf
CELL_PARAMETERS angstrom
5.177 0.000 0.000
0.000 5.177 0.000
0.000 0.000 4.680
ATOMIC_POSITIONS crystal
Ge 0.500 0.500 0.500
Ru 0.000 0.000 0.000
As 0.000 0.000 0.500
Br 0.500 0.000 0.000
Br 0.000 0.500 0.000
! DOS(E_F) (states/eV per cell): 4.4
! M_tot (Bohr magnetons per cell): 0.619

=====

two) ! GeAsRuBr2 GGA-PBE optimized geometry; values from VASP
&SYSTEM
  ibrav = 0, nat = 5, ntyp = 4
/
ATOMIC_SPECIES
Br 79.90 Br.upf
Ru 101.07 Ru.upf
As 74.92 As.upf
Ge 72.64 Ge.upf
CELL_PARAMETERS angstrom
5.146 0.000 0.000
0.000 5.146 0.000
0.000 0.000 5.205
ATOMIC_POSITIONS crystal
Br 0.500 0.000 0.000
Br 0.000 0.500 0.000
Ru 0.500 0.500 0.500
As 0.000 0.000 0.500
Ge 0.000 0.000 0.000
! DOS(E_F) (states/eV per cell): 5.5
! M_tot (Bohr magnetons per cell): 3.784

=====

Winner for stability: one)

=====

one) ! GeAs2RuBr GGA-PBE optimized geometry; values from VASP
&SYSTEM
  ibrav = 0, nat = 5, ntyp = 4
/
ATOMIC_SPECIES
Br 79.90 Br.upf
Ge 72.64 Ge.upf
As 74.92 As.upf
Ru 101.07 Ru.upf
CELL_PARAMETERS angstrom
-1.536 4.425 0.550
-3.859 -1.028 -2.509
-2.545 -1.443 4.506
ATOMIC_POSITIONS crystal
Br 0.000 0.000 0.500
Ge 0.500 0.500 0.500
As 0.500 0.000 0.000
As 0.000 0.500 0.000
Ru 0.000 0.000 0.000
! DOS(E_F) (states/eV per cell): 4.5
! M_tot (Bohr magnetons per cell): 0.000

=====

two) ! GeAs2RuBr GGA-PBE optimized geometry; values from VASP
&SYSTEM
  ibrav = 0, nat = 5, ntyp = 4
/
ATOMIC_SPECIES
As 74.92 As.upf
Ge 72.64 Ge.upf
Ru 101.07 Ru.upf
Br 79.90 Br.upf
CELL_PARAMETERS angstrom
-2.250 3.800 2.200
-4.197 -1.135 -2.331
-1.324 -3.012 3.850
ATOMIC_POSITIONS crystal
As 0.500 0.000 0.000
Ge 0.000 0.000 0.000
Ru 0.500 0.500 0.500
Br 0.000 0.000 0.500
As 0.000 0.500 0.000
! DOS(E_F) (states/eV per cell): 4.5
! M_tot (Bohr magnetons per cell): 2.295

=====

Winner for stability: one)

=====

one) ! GeAsSBr2 GGA-PBE optimized geometry; values from VASP
&SYSTEM
  ibrav = 0, nat = 5, ntyp = 4
/
ATOMIC_SPECIES
S 32.06 S.upf
Ge 72.64 Ge.upf
Br 79.90 Br.upf
As 74.92 As.upf
CELL_PARAMETERS angstrom
-0.917 -4.364 -2.219
4.892 -0.726 -0.593
0.216 -2.523 4.873
ATOMIC_POSITIONS crystal
S 0.500 0.500 0.500
Ge 0.000 0.000 0.000
Br 0.500 0.000 0.000
As 0.000 0.000 0.500
Br 0.000 0.500 0.000
! DOS(E_F) (states/eV per cell): 7.0
! M_tot (Bohr magnetons per cell): 0.000

=====

two) ! GeAsSBr2 GGA-PBE optimized geometry; values from VASP
&SYSTEM
  ibrav = 0, nat = 5, ntyp = 4
/
ATOMIC_SPECIES
As 74.92 As.upf
Br 79.90 Br.upf
S 32.06 S.upf
Ge 72.64 Ge.upf
CELL_PARAMETERS angstrom
5.067 0.000 0.000
0.000 5.067 0.000
0.000 0.000 5.036
ATOMIC_POSITIONS crystal
As 0.000 0.000 0.500
Br 0.500 0.000 0.000
S 0.000 0.000 0.000
Br 0.000 0.500 0.000
Ge 0.500 0.500 0.500
! DOS(E_F) (states/eV per cell): 3.6
! M_tot (Bohr magnetons per cell): 0.000

=====

Winner for stability: two)

=====

one) ! GeSbAsBr2 GGA-PBE optimized geometry; values from VASP
&SYSTEM
  ibrav = 0, nat = 5, ntyp = 4
/
ATOMIC_SPECIES
Ge 72.64 Ge.upf
Br 79.90 Br.upf
As 74.92 As.upf
Sb 121.76 Sb.upf
CELL_PARAMETERS angstrom
5.106 0.000 0.000
0.000 5.397 0.000
0.000 0.000 5.106
ATOMIC_POSITIONS crystal
Ge 0.000 0.000 0.000
Br 0.000 0.000 0.500
Br 0.500 0.000 0.000
As 0.000 0.500 0.000
Sb 0.500 0.500 0.500
! DOS(E_F) (states/eV per cell): 4.0
! M_tot (Bohr magnetons per cell): 0.348

=====

two) ! GeSbAsBr2 GGA-PBE optimized geometry; values from VASP
&SYSTEM
  ibrav = 0, nat = 5, ntyp = 4
/
ATOMIC_SPECIES
Br 79.90 Br.upf
As 74.92 As.upf
Sb 121.76 Sb.upf
Ge 72.64 Ge.upf
CELL_PARAMETERS angstrom
-4.404 -3.236 0.022
3.236 -4.403 0.020
0.005 0.030 5.528
ATOMIC_POSITIONS crystal
Br 0.500 0.000 0.000
As 0.000 0.000 0.500
Sb 0.000 0.000 0.000
Ge 0.500 0.500 0.500
Br 0.000 0.500 0.000
! DOS(E_F) (states/eV per cell): 2.7
! M_tot (Bohr magnetons per cell): 0.241

=====

Winner for stability: one)

=====

one) ! GeAs2SeBr GGA-PBE optimized geometry; values from VASP
&SYSTEM
  ibrav = 0, nat = 5, ntyp = 4
/
ATOMIC_SPECIES
Ge 72.64 Ge.upf
As 74.92 As.upf
Br 79.90 Br.upf
Se 78.96 Se.upf
CELL_PARAMETERS angstrom
5.101 0.000 0.000
0.000 5.101 0.000
0.000 0.000 4.943
ATOMIC_POSITIONS crystal
Ge 0.000 0.000 0.000
As 0.500 0.000 0.000
Br 0.000 0.000 0.500
As 0.000 0.500 0.000
Se 0.500 0.500 0.500
! DOS(E_F) (states/eV per cell): 4.0
! M_tot (Bohr magnetons per cell): 0.452

=====

two) ! GeAs2SeBr GGA-PBE optimized geometry; values from VASP
&SYSTEM
  ibrav = 0, nat = 5, ntyp = 4
/
ATOMIC_SPECIES
Ge 72.64 Ge.upf
Br 79.90 Br.upf
As 74.92 As.upf
Se 78.96 Se.upf
CELL_PARAMETERS angstrom
-2.003 0.807 4.619
4.548 -0.888 2.127
1.099 4.771 -0.357
ATOMIC_POSITIONS crystal
Ge 0.000 0.000 0.000
Br 0.500 0.500 0.500
As 0.000 0.500 0.000
Se 0.000 0.000 0.500
As 0.500 0.000 0.000
! DOS(E_F) (states/eV per cell): 4.7
! M_tot (Bohr magnetons per cell): 0.000

=====

Winner for stability: two)